1.
DFT (GGA-PBE) results for a relaxed structure of Tc3PdRh.

Unit cell a=4.614 b=4.614 c=4.614 alpha=90.00 beta=90.00 gamma=90.00
Space group Pm-3m (No. 221)
Symmetry-distinct sites (fractional):
Tc  0.000  0.000  0.500 [3 per cell]
Pd  0.500  0.500  0.500 [1 per cell]
Rh  0.000  0.000  0.000 [1 per cell]

## Properties
Total magnetization, μB/f.u.: 0.0
Energy relative to the elements, eV/atom: 1.86



2.
DFT (GGA-PBE) results for a relaxed structure of Ti5TcPd2Rh2.

Unit cell a=10.518 b=10.518 c=2.991 alpha=90.00 beta=90.00 gamma=90.00
Space group P4/mbm (No. 127)
Symmetry-distinct sites (fractional):
Ti  0.000  0.500  0.000 [2 per cell]
Ti  0.123  0.161  0.000 [8 per cell]
Tc  0.000  0.000  0.500 [2 per cell]
Pd  0.156  0.656  0.500 [4 per cell]
Rh  0.141  0.359  0.500 [4 per cell]

## Properties
Total magnetization, μB/f.u.: 0.0
Energy relative to the elements, eV/atom: -0.38



3.
DFT (GGA-PBE) results for a relaxed structure of Te6PdRh.

Unit cell a=6.6628 b=6.6628 c=16.0779 alpha=90.00 beta=90.00 gamma=120.00
Space group R-3 (No. 148, hexagonal axes)
Symmetry-distinct sites (fractional):
Te  0.0087  0.7049  0.2505 [18 per cell]
Pd  0.0000  0.0000  0.0000 [3 per cell]
Rh  0.0000  0.0000  0.5000 [3 per cell]

## Properties
Total magnetization, μB/f.u.: 0.0
Formation energy (no corrections), eV/f.u.: -1.7



4.
DFT (GGA-PBE) results for a relaxed structure of Te8PdRh3.

Unit cell a=10.720 b=8.019 c=8.767 alpha=90.00 beta=127.60 gamma=90.00
Space group C2/m (No. 12)
Symmetry-distinct sites (fractional):
Te  0.040  0.000  0.333 [4 per cell]
Te  0.043  0.500  0.341 [4 per cell]
Te  0.211  0.245  0.170 [8 per cell]
Pd  0.000  0.500  0.000 [2 per cell]
Rh  0.000  0.000  0.000 [2 per cell]
Rh  0.250  0.250  0.500 [4 per cell]

## Properties
Total magnetization, μB/f.u.: 0.0
Formation energy (no corrections), eV/f.u.: -4.7



5.
DFT (GGA-PBE) results for a relaxed structure of Te9Pd2Rh4.

Unit cell a=11.948 b=6.898 c=17.557 alpha=90.00 beta=90.01 gamma=90.00
Space group C2/c (No. 15)
Symmetry-distinct sites (fractional):
Te  0.000  0.191  0.250 [4 per cell]
Te  0.017  0.145  0.917 [8 per cell]
Te  0.155  0.345  0.750 [8 per cell]
Te  0.169  0.298  0.417 [8 per cell]
Te  0.186  0.348  0.083 [8 per cell]
Pd  0.000  0.500  0.148 [8 per cell]
Rh  0.167  0.000  0.018 [8 per cell]
Rh  0.167  0.000  0.316 [8 per cell]

## Properties
Total magnetization, μB/f.u.: 0.0
Formation energy (no corrections), eV/f.u.: -5.2



6.
DFT (GGA-PBE) results for a relaxed structure of Te4PdRh2.

Unit cell a=13.231 b=4.088 c=6.956 alpha=90.00 beta=120.22 gamma=90.00
Space group C2/m (No. 12)
Symmetry-distinct sites (fractional):
Te  0.126  0.000  0.465 [4 per cell]
Te  0.139  0.500  0.979 [4 per cell]
Pd  0.000  0.000  0.000 [2 per cell]
Rh  0.241  0.500  0.726 [4 per cell]

## Properties
Total magnetization, μB/f.u.: 0.0
Formation energy (no corrections), eV/f.u.: -2.7